First-principles (GGA-PBE) data for crystalline K4Sb2As2Au at its relaxed geometry, as listed in the Alexandria database.

Its uncorrected formation energy is -30 kJ per mole of atoms. For the mass density, the calculation gives 4.102 g/cm3.

It has space group C2/m (No. 12), with a = 10.0724 Å, b = 10.0139 Å, c = 6.1563 Å, α = 90.00°, β = 103.19° and γ = 90.00°. The inequivalent atoms are K at (0.1312, 0.2033, 0.2504), Sb at (0.1748, 0.0000, 0.7727), As at (0.0957, 0.5000, 0.9118) and Au at (0.0000, 0.5000, 0.5000).